a.
KInIO2: optimized geometry, PBE.

It has space group P4/mmm (No. 123), with a = 4.960 Å, b = 4.960 Å, c = 7.023 Å, α = 90.00°, β = 90.00° and γ = 90.00°. The asymmetric unit holds K at (0.000, 0.000, 0.000), In at (0.500, 0.500, 0.500), I at (0.000, 0.000, 0.500) and O at (0.000, 0.500, 0.000).

The density of states at the Fermi level is 5.86 states/eV/f.u. The value obtained for the total magnetic moment is 0.58 μB per atom.

=====

b.
KInIO2: optimized geometry, PBE.

It has space group P4/mmm (No. 123), with a = 4.450 Å, b = 4.450 Å, c = 6.120 Å, α = 90.00°, β = 90.00° and γ = 90.00°. The asymmetric unit holds K at (0.000, 0.000, 0.000), In at (0.500, 0.500, 0.500), I at (0.500, 0.500, 0.000) and O at (0.000, 0.500, 0.500).

The density of states at the Fermi level is 1.55 states/eV/f.u. The value obtained for the total magnetic moment is 0.20 μB per atom.

=====

Out of the structures above, which one is the least stable? Solution: a.